[1]
Compound: CsPmSnCl6
Source: Alexandria via LeMat-Bulk
Functional: PBE
Structure: optimized geometry

Output
* SG: Imma (74)
* N(E_F): 0.00 states/eV/cell
* energy relative to the elements, uncorrected: -1.77 eV/atom

Lattice parameters (Å, degrees): 10.2174 10.2174 10.2174 121.89 119.09 89.17
With the nearest neighbours (Å) after each atom.
Fractional coordinates of all 18 atoms:
Cs 0.3267 0.0767 0.2500  1 Cl 3.45
Cs 0.6733 0.9233 0.7500  1 Cl 3.45
Pm 0.0000 0.5000 0.5000  6 Cl 2.72-2.74
Pm 0.5000 0.5000 0.0000  6 Cl 2.72-2.74
Sn 0.0000 0.0000 0.5000  6 Cl 2.80-2.88
Sn 0.0000 0.5000 0.0000  6 Cl 2.80-2.88
Cl 0.0814 0.4214 0.2570  1 Pm 2.72, 1 Sn 2.88
Cl 0.0814 0.8244 0.6600  1 Pm 2.72, 1 Sn 2.88
Cl 0.0894 0.8394 0.2500  2 Sn 2.80
Cl 0.3119 0.5619 0.7500  2 Pm 2.74
Cl 0.3356 0.1756 0.7570  1 Pm 2.72, 1 Sn 2.88
Cl 0.3356 0.5786 0.1600  1 Pm 2.72, 1 Sn 2.88
Cl 0.6644 0.4214 0.8400  1 Pm 2.72, 1 Sn 2.88
Cl 0.6644 0.8244 0.2430  1 Pm 2.72, 1 Sn 2.88
Cl 0.6881 0.4381 0.2500  2 Pm 2.74
Cl 0.9106 0.1606 0.7500  2 Sn 2.80
Cl 0.9186 0.1756 0.3400  1 Pm 2.72, 1 Sn 2.88
Cl 0.9186 0.5786 0.7430  1 Pm 2.72, 1 Sn 2.88



[2]
Compound: Mn5In
Source: Alexandria via LeMat-Bulk
Functional: PBE
Structure: optimized geometry

Output
* formation energy from the elements: 226 meV/atom
* SG: F-43m (216)
* N(E_F): 7.52 states/eV/cell
* energy relative to the lowest polymorph listed for this composition: 0.245 eV/f.u.

Lattice parameters (Å, degrees): 4.8043 4.8043 4.8043 60.00 60.00 60.00
With the nearest neighbours (Å) after each atom.
Fractional coordinates of all 6 atoms:
Mn 0.0000 0.0000 0.0000  12 Mn 2.82, 4 In 2.94
Mn 0.1264 0.6245 0.6245  6 Mn 2.39-2.41
Mn 0.6245 0.1264 0.6245  6 Mn 2.39-2.41
Mn 0.6245 0.6245 0.1264  6 Mn 2.39-2.41
Mn 0.6245 0.6245 0.6245  6 Mn 2.39-2.41
In 0.2500 0.2500 0.2500  16 Mn 2.82-2.94



no.,volume (Å³ per cell)
1,747.97
2,78.41